{
  "formula": "Ce2Pm3DyY6",
  "functional": "PBE",
  "state": "relaxed",
  "formation_energy_ev_per_atom": 0.046,
  "dos_at_fermi_per_ev_fu": 21.10,
  "final_energy_ev_per_fu": -68.96,
  "cell": [[3.106, -5.378, 0.000], [3.106, 5.378, 0.000], [-2.068, 0.000, 11.636]],
  "species": ["Ce", "Ce", "Pm", "Pm", "Pm", "Dy", "Y", "Y", "Y", "Y", "Y", "Y"],
  "frac_coords": [[0.166, 0.834, 0.000], [0.834, 0.166, 0.000], [0.000, 0.000, 0.500], [0.334, 0.666, 0.500], [0.666, 0.334, 0.500], [0.500, 0.500, 0.000], [0.082, 0.418, 0.754], [0.247, 0.247, 0.247], [0.418, 0.082, 0.754], [0.582, 0.918, 0.246], [0.753, 0.753, 0.753], [0.918, 0.582, 0.246]]
}